Record 1
Computed, not measured: a relaxed CsPm2C2N6 crystal at the PBE level of DFT.

Lattice parameters (Å, degrees): 6.262 6.155 6.274 109.46 90.00 59.42
Last column: magnetic moment on the atom in μB.
Element x y z (fractional)
N1 0.615 0.404 0.182  0.09
N2 0.019 0.596 0.818  0.09
N3 0.924 0.151 0.360  0.02
N4 0.385 0.596 0.818  0.09
N5 0.076 0.849 0.640  0.02
N6 0.981 0.404 0.182  0.09
Pm1 0.172 0.656 0.203  0.01
Pm2 0.828 0.344 0.797  0.01
C1 0.841 0.318 0.245  -0.01
C2 0.159 0.682 0.755  -0.01
Cs1 0.500 0.000 0.500  0.00

Summary:
ΔE_f (raw): -344.5 meV/atom
Crystal system: monoclinic
Density of states at the Fermi level: 0.360 states/eV per atom
Space-group type: No. 12

Record 2
Computed, not measured: a relaxed Rb3SeF6 crystal at the PBE level of DFT.

Lattice parameters (Å, degrees): 6.490 6.490 6.996 62.36 62.36 90.00
Last column: magnetic moment on the atom in μB.
Element x y z (fractional)
Rb1 0.000 0.000 0.000  0.00
Rb2 0.750 0.250 0.500  0.00
Rb3 0.250 0.750 0.500  0.00
Se1 0.500 0.500 0.000  0.49
F1 0.713 0.287 0.000  0.02
F2 0.713 0.713 0.000  0.02
F3 0.748 0.748 0.505  0.11
F4 0.287 0.287 0.000  0.02
F5 0.287 0.713 0.000  0.02
F6 0.252 0.252 0.495  0.11

Summary:
ΔE_f (raw): -2200.9 meV/atom
Energy above the most stable polymorph in this dataset: 0.0 meV per atom
Crystal system: tetragonal
Density of states at the Fermi level: 0.000 states/eV per atom
Space-group type: No. 139

Record 3
Computed, not measured: a relaxed Ho5TmTlIn2 crystal at the PBE level of DFT.

Lattice parameters (Å, degrees): 8.441 8.441 9.392 116.70 116.70 90.00
Element x y z (fractional)
Ho1 0.500 0.500 0.000
Ho2 0.076 0.576 0.732
Ho3 0.000 0.000 0.000
Ho4 0.656 0.156 0.732
Ho5 0.844 0.924 0.268
Ho6 0.576 0.656 0.732
Ho7 0.156 0.076 0.732
Ho8 0.424 0.344 0.268
Ho9 0.344 0.844 0.268
Ho10 0.924 0.424 0.268
Tl1 0.750 0.750 0.500
Tl2 0.250 0.250 0.500
In1 0.388 0.888 0.000
In2 0.112 0.388 0.000
In3 0.612 0.112 0.000
In4 0.888 0.612 0.000
Tm1 0.250 0.750 0.500
Tm2 0.750 0.250 0.500

Summary:
E_form: -0.3 eV per formula unit
Crystal system: tetragonal
Density of states at the Fermi level: 0.801 states/eV per atom
Space-group type: No. 140

Record 4
Computed, not measured: a relaxed Nd6BO12 crystal at the PBE level of DFT.

Lattice parameters (Å, degrees): 6.650 6.650 6.650 99.06 99.06 99.06
Last column: magnetic moment on the atom in μB.
Element x y z (fractional)
O1 0.596 0.177 0.445  0.02
O2 0.404 0.823 0.555  0.02
O3 0.028 0.743 0.939  0.41
O4 0.061 0.972 0.257  0.41
O5 0.939 0.028 0.743  0.41
O6 0.257 0.061 0.972  0.41
O7 0.972 0.257 0.061  0.41
O8 0.445 0.596 0.177  0.02
O9 0.177 0.445 0.596  0.02
O10 0.743 0.939 0.028  0.41
O11 0.555 0.404 0.823  0.02
O12 0.823 0.555 0.404  0.02
Nd1 0.857 0.397 0.701  0.00
Nd2 0.299 0.143 0.603  0.00
Nd3 0.701 0.857 0.397  0.00
Nd4 0.143 0.603 0.299  0.00
Nd5 0.603 0.299 0.143  0.00
Nd6 0.397 0.701 0.857  0.00
B1 0.000 0.000 0.000  -0.03

Summary:
ΔE_f (raw): -2607.9 meV/atom
Crystal system: trigonal
Density of states at the Fermi level: 0.135 states/eV per atom
Space-group type: No. 148